A geometry-optimized TcP2Os structure. Source: Alexandria via LeMat-Bulk, functional PBE.

The structure in POSCAR format:
```
TcP2Os
1.0
-3.430 1.407 -0.216
-0.995 -2.159 1.746
0.925 2.882 4.091
Os P Tc
1 2 1
direct
0.500 0.750 0.750 Os
0.000 0.750 0.031 P
0.000 0.750 0.469 P
0.500 0.250 0.250 Tc
```

Values from the calculation:
The formation energy comes out at 0.1209 eV per atom. The spin magnetization is 0.000 μB/f.u. The calculation puts the energy above the most stable polymorph in this dataset at 426 meV per atom.

A geometry-optimized PrTmIn structure. Source: Alexandria via LeMat-Bulk, functional PBE.

The structure in POSCAR format:
```
PrTmIn
1.0
4.629 0.000 0.000
0.000 4.629 0.000
0.000 0.000 8.542
Pr In Tm
2 2 2
direct
0.000 0.000 0.000 Pr
0.500 0.500 0.000 Pr
0.000 0.500 0.282 In
0.500 0.000 0.718 In
0.000 0.500 0.642 Tm
0.500 0.000 0.358 Tm
```

Values from the calculation:
The formation energy comes out at -0.2011 eV per atom. The spin magnetization is 0.000 μB/f.u. The calculation puts the energy above the most stable polymorph in this dataset at 130 meV per atom.

A geometry-optimized KCdS2O6 structure. Source: Alexandria via LeMat-Bulk, functional PBE.

The structure in POSCAR format:
```
KCdS2O6
1.0
-0.996 1.388 5.087
-4.953 1.457 1.462
-3.413 -5.356 3.623
K Cd S O
1 1 2 6
direct
0.000 0.000 0.000 K
0.500 0.500 0.500 Cd
0.740 0.740 0.779 S
0.260 0.260 0.221 S
0.046 0.511 0.706 O
0.738 0.046 0.706 O
0.489 0.262 0.294 O
0.954 0.489 0.294 O
0.262 0.954 0.294 O
0.511 0.738 0.706 O
```

Values from the calculation:
Its formation energy from raw total energies is -125.1 kJ/mol of atoms. The spin magnetization is 1.032 μB/f.u.

A geometry-optimized PuScVRu structure. Source: Alexandria via LeMat-Bulk, functional PBE.

The structure in POSCAR format:
```
PuScVRu
1.0
4.668 0.000 0.000
2.334 4.043 0.000
2.334 1.348 3.812
Sc Ru V Pu
1 1 1 1
direct
0.250 0.250 0.250 Sc
0.000 0.000 0.000 Ru
0.500 0.500 0.500 V
0.750 0.750 0.750 Pu
```

Values from the calculation:
The formation energy comes out at -0.0673 eV per atom. The spin magnetization is 2.572 μB/f.u.